# 1
Entry from Alexandria: crystalline Ag2SbPbCl8 at its relaxed geometry (PBE).

Structure (extended XYZ):
```
12
Lattice="6.522 -0.119 0.109 -0.135 6.396 0.114 0.151 0.171 8.282" Properties=species:S:1:pos:R:3 pbc="T T T"
Pb 0.075 0.086 4.141
Ag 3.261 3.212 6.321
Ag 3.278 3.236 2.183
Cl 4.354 4.501 4.422
Cl 2.101 1.921 8.243
Cl 5.422 1.426 6.546
Cl 1.117 5.022 1.959
Cl 5.297 1.286 1.943
Cl 1.242 5.162 6.562
Cl 4.437 4.527 0.261
Cl 2.184 1.947 4.083
Sb 0.000 0.000 0.000
```

Computed properties:
Formation energy from raw total energies in meV per atom: -716.0



# 2
Entry from Alexandria: crystalline ScAgPbCl6 at its relaxed geometry (PBE).

Structure (extended XYZ):
```
18
Lattice="6.817 0.000 0.000 -3.409 5.904 0.000 0.000 0.000 12.421" Properties=species:S:1:pos:R:3 pbc="T T T"
Cl 5.462 2.007 1.653
Cl -2.054 3.897 10.768
Cl 4.402 0.170 4.558
Cl 1.061 2.177 10.768
Cl -1.061 2.177 7.864
Cl 0.993 5.734 10.768
Cl 2.416 0.170 1.653
Cl -0.993 5.734 7.864
Cl 2.054 3.897 7.864
Cl 1.355 2.007 4.558
Cl 4.469 3.727 4.558
Cl 2.348 3.727 1.653
Pb 0.000 0.000 6.211
Pb 0.000 0.000 0.000
Sc 0.000 3.936 9.316
Sc 3.409 1.968 3.105
Ag 0.000 3.936 3.105
Ag 3.409 1.968 9.316
```

Computed properties:
Formation energy from raw total energies in meV per atom: -1405.4



# 3
Entry from Alexandria: crystalline AgSnPb2Cl8 at its relaxed geometry (PBE).

Structure (extended XYZ):
```
12
Lattice="-1.342 6.064 -2.553 0.134 -2.461 -5.993 -8.269 -1.626 0.483" Properties=species:S:1:pos:R:3 pbc="T T T"
Pb -6.859 0.572 -3.908
Pb -2.619 1.405 -4.155
Cl -6.197 -2.141 -4.763
Cl -4.520 0.462 -2.055
Cl -8.660 -0.359 -1.941
Cl -3.280 4.118 -3.301
Cl -4.958 1.515 -6.009
Cl -0.817 2.336 -6.123
Cl -2.299 -1.374 -4.990
Cl -7.179 3.351 -3.073
Ag 0.000 0.000 0.000
Sn -4.135 -0.813 0.242
```

Computed properties:
Formation energy from raw total energies in meV per atom: -920.7



# 4
Entry from Alexandria: crystalline Ag2SnPbCl8 at its relaxed geometry (PBE).

Structure (extended XYZ):
```
12
Lattice="6.760 0.000 0.000 0.000 6.760 0.000 -3.380 -3.380 7.124" Properties=species:S:1:pos:R:3 pbc="T T T"
Cl -2.028 -1.424 4.830
Cl 5.381 4.630 1.383
Cl -1.250 2.001 5.741
Cl 2.028 1.424 4.830
Cl 1.956 5.408 2.294
Cl 1.250 -2.001 5.741
Cl 1.379 2.130 1.383
Cl 4.804 1.352 2.294
Sn 3.380 0.000 3.562
Ag 3.380 3.380 0.000
Ag 0.000 3.380 3.562
Pb 0.000 0.000 0.000
```

Computed properties:
Formation energy from raw total energies in meV per atom: -726.9



# 5
Entry from Alexandria: crystalline AgSnPbCl6 at its relaxed geometry (PBE).

Structure (extended XYZ):
```
9
Lattice="6.240 0.000 0.000 0.000 6.881 0.000 0.000 -3.440 5.959" Properties=species:S:1:pos:R:3 pbc="T T T"
Cl 1.531 1.203 5.828
Cl 1.531 -2.208 4.087
Cl 4.709 -1.203 5.828
Cl 1.531 1.005 2.003
Cl 4.709 2.208 4.087
Cl 4.709 -1.005 2.003
Ag 3.120 0.000 0.000
Pb 3.120 3.440 1.986
Sn 0.000 0.000 3.973
```

Computed properties:
Formation energy from raw total energies in meV per atom: -843.8



# 6
Entry from Alexandria: crystalline SrAgPbCl6 at its relaxed geometry (PBE).

Structure (extended XYZ):
```
18
Lattice="-4.235 -4.143 2.837 3.549 0.155 5.525 -6.895 9.890 4.151" Properties=species:S:1:pos:R:3 pbc="T T T"
Cl -8.401 5.064 6.887
Cl -7.009 8.551 6.623
Cl -6.051 1.518 5.388
Cl -4.854 5.414 5.397
Cl -2.831 0.537 7.341
Cl -3.959 -1.622 4.062
Cl -2.545 2.204 3.845
Cl -7.280 6.974 9.930
Cl 0.888 1.055 5.736
Cl -3.870 7.566 8.451
Cl -5.112 3.909 8.552
Cl -1.344 4.117 7.014
Ag -6.097 6.260 7.646
Ag -2.307 3.309 1.389
Pb -3.786 2.945 6.254
Pb -6.891 9.884 4.149
Sr -1.492 -0.346 4.873
Sr -4.596 6.593 2.767
```

Computed properties:
Formation energy from raw total energies in meV per atom: -1273.8



# 7
Entry from Alexandria: crystalline SrAg2PbCl6 at its relaxed geometry (PBE).

Structure (extended XYZ):
```
10
Lattice="7.269 -0.040 -0.004 -3.669 6.270 -0.041 -3.623 -2.107 6.691" Properties=species:S:1:pos:R:3 pbc="T T T"
Cl 1.199 2.253 4.672
Cl -2.274 4.158 4.723
Cl 2.468 0.019 1.478
Cl -2.507 -0.202 4.549
Cl 2.505 4.082 1.352
Cl -1.152 2.132 1.541
Pb -3.580 -2.074 6.675
Sr 3.674 2.090 3.103
Ag 0.097 4.229 2.523
Ag 0.024 0.019 4.660
```

Computed properties:
Formation energy from raw total energies in meV per atom: -1246.9



# 8
Entry from Alexandria: crystalline Tc2AgPbCl at its relaxed geometry (PBE).

Structure (extended XYZ):
```
5
Lattice="5.281 0.000 0.000 0.000 5.452 0.000 0.000 0.000 5.281" Properties=species:S:1:pos:R:3 pbc="T T T"
Ag 2.641 2.726 2.641
Pb 0.000 0.000 0.000
Tc 2.641 0.000 0.000
Tc 0.000 0.000 2.641
Cl 0.000 2.726 0.000
```

Computed properties:
Formation energy from raw total energies in meV per atom: 1746.4



> What is the formula in the second record?

ScAgPbCl6